--- A ---
{
  "formula": "LiPm4Ga3",
  "functional": "GGA-PBE",
  "state": "relaxed",
  "lattice": [[4.979, 0.000, -1.344], [-0.358, 4.971, -1.325], [-0.421, -0.487, 8.336]],
  "species": ["Li", "Pm", "Ga", "Ga", "Pm", "Pm", "Pm", "Ga"],
  "frac_coords": [[0.500, 0.000, 0.000], [0.372, 0.371, 0.743], [0.254, 0.754, 0.507], [0.746, 0.246, 0.493], [0.128, 0.128, 0.257], [0.872, 0.872, 0.743], [0.628, 0.629, 0.257], [0.000, 0.500, 0.000]],
  "m_tot_mub_per_cell": 0.0,
  "n_ef_per_ev_cell": 4.6
}

***

--- B ---
{
  "formula": "LiPm4Ga3",
  "functional": "GGA-PBE",
  "state": "relaxed",
  "lattice": [[3.761, 0.000, 0.000], [0.000, 4.563, 0.000], [0.000, 0.000, 11.963]],
  "species": ["Pm", "Pm", "Ga", "Pm", "Li", "Ga", "Pm", "Ga"],
  "frac_coords": [[0.000, 0.500, 0.845], [0.000, 0.000, 0.153], [0.000, 0.500, 0.574], [0.500, 0.500, 0.354], [0.500, 0.500, 0.060], [0.500, 0.000, 0.934], [0.500, 0.000, 0.650], [0.000, 0.000, 0.431]],
  "m_tot_mub_per_cell": 0.0,
  "n_ef_per_ev_cell": 7.5
}

***

Decreasing stability: A, B